A plane-wave DFT calculation with PBE was carried out for an optimized crystal structure of BaIN2O.

raw total energy: -3.821 eV/atom
energy relative to the elements, uncorrected: 1196 meV per atom
crystal system: tetragonal

Unit cell a=5.0150 b=5.0150 c=4.1420 alpha=90.00 beta=90.00 gamma=90.00
With the nearest neighbours (Å) after each atom.
Element x y z (fractional)
I 0.0000 0.0000 0.5000  2 O 2.07
Ba 0.5000 0.5000 0.5000  8 N 3.25, 4 I 3.55
O 0.0000 0.0000 0.0000  2 I 2.07
N 0.0000 0.5000 0.0000  2 O 2.51
N 0.5000 0.0000 0.0000  2 O 2.51